Tm6TlZn2 | GGA-PBE | relaxed

a b c (Å): 8.5006 8.5006 8.5006
angles (deg): 106.50 111.29 110.66
Closest atoms and distances in Å follow each position.
Fractional positions:
Tl  0.0000  0.5000  0.5000  8 Tm 3.31-3.37
Tl  0.0000  0.0000  0.0000  8 Tm 3.15-3.21, 2 Zn 3.47
Zn  0.3617  0.0000  0.3617  1 Zn 2.65, 2 Tm 2.86
Zn  0.5000  0.6235  0.1235  1 Zn 2.51
Zn  0.6383  0.0000  0.6383  1 Zn 2.65, 2 Tm 2.86
Zn  0.5000  0.3765  0.8765  1 Zn 2.51
Tm  0.4614  0.2764  0.1850  3 Zn 3.07-3.17, 1 Tl 3.21
Tm  0.0914  0.2764  0.8150  3 Zn 3.07-3.17, 1 Tl 3.21
Tm  0.9086  0.7236  0.1850  3 Zn 3.07-3.17, 1 Tl 3.21
Tm  0.7930  0.2402  0.0332  2 Zn 2.86-3.13, 1 Tl 3.15
Tm  0.2903  0.6071  0.3168  3 Zn 2.82-3.06
Tm  0.2903  0.9735  0.6832  3 Zn 2.82-3.06
Tm  0.2070  0.7598  0.9668  2 Zn 2.86-3.13, 1 Tl 3.15
Tm  0.7930  0.7598  0.5529  2 Zn 2.86-3.13, 1 Tl 3.15
Tm  0.2070  0.2402  0.4471  2 Zn 2.86-3.13, 1 Tl 3.15
Tm  0.7097  0.3929  0.6832  3 Zn 2.82-3.06
Tm  0.7097  0.0265  0.3168  3 Zn 2.82-3.06
Tm  0.5386  0.7236  0.8150  3 Zn 3.07-3.17, 1 Tl 3.21

Output
E_tot = -67.568 eV per cell
Density of states at the Fermi level = 0.881 states/eV per atom
Excess energy over the best structure of this formula in the dataset = 0.0000 eV/atom
Spin magnetization = 0.0 μB/f.u.
ΔE_f = -2.041 eV/f.u.

=====

CaSmGdSc | GGA-PBE | relaxed

a b c (Å): 5.6579 5.6579 5.6579
angles (deg): 60.00 60.00 60.00
Closest atoms and distances in Å follow each position.
Fractional positions:
Ca  0.5000  0.5000  0.5000  4 Gd 3.46, 4 Sm 3.46
Sc  0.0000  0.0000  0.0000  4 Gd 3.46, 4 Sm 3.46
Sm  0.7500  0.7500  0.7500  4 Ca 3.46, 4 Sc 3.46
Gd  0.2500  0.2500  0.2500  4 Sc 3.46, 4 Ca 3.46

Output
E_tot = -26.536 eV per cell
Density of states at the Fermi level = 1.605 states/eV per atom
Spin magnetization = 7.2 μB/f.u.
ΔE_f = 0.598 eV/f.u.

=====

Dy2HoPt | GGA-PBE | relaxed

a b c (Å): 3.8976 3.8976 9.2950
angles (deg): 77.90 77.90 60.00
Closest atoms and distances in Å follow each position.
Fractional positions:
Dy  0.0613  0.0613  0.8162  3 Pt 2.81
Dy  0.2714  0.2714  0.1858  3 Pt 2.79
Pt  0.6658  0.6658  0.0025  6 Dy 2.79-2.81
Ho  0.5015  0.5015  0.4956  6 Dy 3.59-3.66, 6 Ho 3.90

Output
E_tot = -21.863 eV per cell
Density of states at the Fermi level = 1.231 states/eV per atom
Excess energy over the best structure of this formula in the dataset = 0.2104 eV/atom
Spin magnetization = 0.0 μB/f.u.
ΔE_f = -2.040 eV/f.u.